[1]
Computed, not measured: a relaxed ScTePtN2 crystal at the PBE-GGA level of DFT.

POSCAR file:
```
ScTePtN2
1.0
3.867 0.000 0.000
0.000 3.867 0.000
0.000 0.000 7.202
Sc Te Pt N
1 1 1 2
Direct
0.000 0.000 0.000
0.500 0.500 0.000
0.500 0.500 0.500
0.000 0.500 0.500
0.500 0.000 0.500
```

Uncorrected energy   -5.67 eV per atom
Volume   21.54 Å³ per atom
Space group   P4/mmm, No. 123
Crystal system   tetragonal
Offset from the most stable computed form   0.0000 eV/atom
Uncorrected formation energy   0.76 eV per atom
Total magnetization   0.4 μB/f.u.

***

[2]
Computed, not measured: a relaxed HfS2BrCl crystal at the PBE-GGA level of DFT.

POSCAR file:
```
HfS2BrCl
1.0
4.988 0.000 0.000
0.000 4.988 0.000
0.000 0.000 4.973
Hf S Br Cl
1 2 1 1
Direct
0.000 0.000 0.000
0.000 0.500 0.000
0.500 0.000 0.000
0.500 0.500 0.500
0.000 0.000 0.500
```

Uncorrected energy   -4.96 eV per atom
Volume   24.75 Å³ per atom
Space group   P4/mmm, No. 123
Crystal system   tetragonal
Offset from the most stable computed form   0.0000 eV/atom
Uncorrected formation energy   -0.61 eV per atom
Total magnetization   1.0 μB/f.u.

***

[3]
Computed, not measured: a relaxed CeCu4Pt crystal at the PBE-GGA level of DFT.

POSCAR file:
```
CeCu4Pt
1.0
0.000 3.559 3.559
3.559 0.000 3.559
3.559 3.559 0.000
Ce Cu Pt
1 4 1
Direct
0.000 0.000 0.000
0.128 0.624 0.624
0.624 0.128 0.624
0.624 0.624 0.128
0.624 0.624 0.624
0.250 0.250 0.250
```

ΔE_f   -0.343 eV/atom
Uncorrected energy   -5.07 eV per atom
Volume   15.03 Å³ per atom
Space group   F-43m, No. 216
Crystal system   cubic
Total magnetization   0.0 μB/f.u.

***

[4]
Computed, not measured: a relaxed LuPaTlSn crystal at the PBE-GGA level of DFT.

POSCAR file:
```
LuPaTlSn
1.0
0.000 3.753 3.753
3.753 0.000 3.753
3.753 3.753 0.000
Lu Pa Tl Sn
1 1 1 1
Direct
0.000 0.000 0.000
0.500 0.500 0.500
0.750 0.750 0.750
0.250 0.250 0.250
```

ΔE_f   -0.087 eV/atom
Uncorrected energy   -5.18 eV per atom
Volume   26.43 Å³ per atom
Space group   F-43m, No. 216
Crystal system   cubic
Total magnetization   1.8 μB/f.u.

***

[5]
Computed, not measured: a relaxed LiPm2As3Pt4 crystal at the PBE-GGA level of DFT.

POSCAR file:
```
LiPm2As3Pt4
1.0
4.318 0.000 0.000
0.000 4.318 0.000
0.000 0.000 10.209
Li Pm As Pt
1 2 3 4
Direct
0.000 0.000 0.000
0.000 0.500 0.741
0.500 0.000 0.259
0.000 0.500 0.362
0.500 0.000 0.638
0.500 0.500 0.000
0.000 0.000 0.500
0.000 0.500 0.124
0.500 0.000 0.876
0.500 0.500 0.500
```

ΔE_f   -0.902 eV/atom
Uncorrected energy   -5.86 eV per atom
Volume   19.04 Å³ per atom
Space group   P-4m2, No. 115
Crystal system   tetragonal
Total magnetization   0.0 μB/f.u.

***

[6]
Computed, not measured: a relaxed B2C crystal at the PBE-GGA level of DFT.

POSCAR file:
```
B2C
1.0
5.261 -1.361 0.000
5.261 1.361 0.000
-0.965 0.000 5.716
B C
8 4
Direct
0.000 0.000 0.000
0.093 0.093 0.700
0.375 0.375 0.934
0.469 0.469 0.464
0.501 0.501 0.799
0.688 0.688 0.794
0.789 0.789 0.515
0.796 0.796 0.048
0.030 0.030 0.414
0.116 0.116 0.228
0.355 0.355 0.620
0.703 0.703 0.255
```

ΔE_f   0.402 eV/atom
Uncorrected energy   -7.12 eV per atom
Volume   6.82 Å³ per atom
Space group   Cm, No. 8
Crystal system   monoclinic
Offset from the most stable computed form   0.2168 eV/atom
Total magnetization   0.0 μB/f.u.

***

[7]
Computed, not measured: a relaxed Sr2In5Au crystal at the PBE-GGA level of DFT.

POSCAR file:
```
Sr2In5Au
1.0
-3.317 3.317 5.213
3.317 -3.317 5.213
3.317 3.317 -5.213
Sr In Au
2 5 1
Direct
0.000 0.500 0.500
0.500 0.000 0.500
0.455 0.455 0.000
0.513 0.513 0.526
0.513 0.987 0.000
0.987 0.513 0.000
0.987 0.987 0.474
0.093 0.093 0.000
```

ΔE_f   -0.325 eV/atom
Uncorrected energy   -2.87 eV per atom
Volume   28.68 Å³ per atom
Space group   I4mm, No. 107
Crystal system   tetragonal
Offset from the most stable computed form   0.0883 eV/atom
Total magnetization   0.0 μB/f.u.

***

[8]
Computed, not measured: a relaxed Sr2HO crystal at the PBE-GGA level of DFT.

POSCAR file:
```
Sr2HO
1.0
1.880 1.086 6.236
-1.880 1.086 6.236
0.000 -2.171 6.236
Sr H O
2 1 1
Direct
0.244 0.244 0.244
0.756 0.756 0.756
0.000 0.000 0.000
0.500 0.500 0.500
```

Uncorrected energy   -4.29 eV per atom
Volume   19.10 Å³ per atom
Space group   R-3m, No. 166
Crystal system   trigonal
Offset from the most stable computed form   0.1026 eV/atom
Total magnetization   1.0 μB/f.u.

***

[9]
Computed, not measured: a relaxed Cs2CdS2 crystal at the PBE-GGA level of DFT.

POSCAR file:
```
Cs2CdS2
1.0
7.818 0.000 0.000
0.000 7.818 0.000
0.000 0.000 5.455
Cs Cd S
4 2 4
Direct
0.153 0.347 0.000
0.347 0.847 0.000
0.653 0.153 0.000
0.847 0.653 0.000
0.000 0.000 0.500
0.500 0.500 0.500
0.178 0.678 0.500
0.322 0.178 0.500
0.678 0.822 0.500
0.822 0.322 0.500
```

Uncorrected energy   -2.73 eV per atom
Volume   33.34 Å³ per atom
Space group   P4/mbm, No. 127
Crystal system   tetragonal
Uncorrected formation energy   -0.55 eV per atom
Total magnetization   0.0 μB/f.u.

***

[10]
Computed, not measured: a relaxed CaFe4Tc crystal at the PBE-GGA level of DFT.

POSCAR file:
```
CaFe4Tc
1.0
0.000 3.469 3.469
3.469 0.000 3.469
3.469 3.469 0.000
Ca Fe Tc
1 4 1
Direct
0.000 0.000 0.000
0.376 0.376 0.376
0.376 0.376 0.872
0.376 0.872 0.376
0.872 0.376 0.376
0.750 0.750 0.750
```

ΔE_f   0.331 eV/atom
Uncorrected energy   -7.37 eV per atom
Volume   13.92 Å³ per atom
Space group   F-43m, No. 216
Crystal system   cubic
Total magnetization   7.8 μB/f.u.

***

[11]
Computed, not measured: a relaxed La4PrHo crystal at the PBE-GGA level of DFT.

POSCAR file:
```
La4PrHo
1.0
3.691 0.000 0.000
0.000 5.237 0.000
0.000 0.000 11.046
La Pr Ho
4 1 1
Direct
0.000 0.000 0.166
0.000 0.000 0.834
0.500 0.500 0.326
0.500 0.500 0.674
0.000 0.000 0.500
0.500 0.500 0.000
```

ΔE_f   0.014 eV/atom
Uncorrected energy   -4.83 eV per atom
Volume   35.59 Å³ per atom
Space group   Pmmm, No. 47
Crystal system   orthorhombic
Offset from the most stable computed form   0.0000 eV/atom
Total magnetization   0.0 μB/f.u.

***

[12]
Computed, not measured: a relaxed Pr6Zn2Hg crystal at the PBE-GGA level of DFT.

POSCAR file:
```
Pr6Zn2Hg
1.0
0.000 6.372 7.996
2.666 0.000 7.996
2.666 6.372 0.000
Pr Zn Hg
6 2 1
Direct
0.023 0.316 0.684
0.316 0.023 0.977
0.351 0.649 0.351
0.649 0.351 0.649
0.684 0.977 0.023
0.977 0.684 0.316
0.334 0.334 0.666
0.666 0.666 0.334
0.000 0.000 0.000
```

ΔE_f   -0.221 eV/atom
Uncorrected energy   -3.72 eV per atom
Volume   30.19 Å³ per atom
Space group   Fmmm, No. 69
Crystal system   orthorhombic
Offset from the most stable computed form   0.0000 eV/atom
Total magnetization   1.1 μB/f.u.

***

[13]
Computed, not measured: a relaxed RbZrSe2F crystal at the PBE-GGA level of DFT.

POSCAR file:
```
RbZrSe2F
1.0
5.363 0.000 0.000
0.000 5.363 0.000
0.000 0.000 4.348
Rb Zr Se F
1 1 2 1
Direct
0.000 0.000 0.000
0.500 0.500 0.500
0.000 0.500 0.500
0.500 0.000 0.500
0.500 0.500 0.000
```

Uncorrected energy   -5.53 eV per atom
Volume   25.01 Å³ per atom
Space group   P4/mmm, No. 123
Crystal system   tetragonal
Offset from the most stable computed form   0.1299 eV/atom
Uncorrected formation energy   -1.85 eV per atom
Total magnetization   0.0 μB/f.u.

***

[14]
Computed, not measured: a relaxed PmScGaPd crystal at the PBE-GGA level of DFT.

POSCAR file:
```
PmScGaPd
1.0
0.000 3.505 3.505
3.505 0.000 3.505
3.505 3.505 0.000
Pm Sc Ga Pd
1 1 1 1
Direct
0.000 0.000 0.000
0.500 0.500 0.500
0.250 0.250 0.250
0.750 0.750 0.750
```

ΔE_f   -0.641 eV/atom
Uncorrected energy   -5.47 eV per atom
Volume   21.52 Å³ per atom
Space group   F-43m, No. 216
Crystal system   cubic
Total magnetization   0.0 μB/f.u.

***

[15]
Computed, not measured: a relaxed LiZr2Ag2Se6 crystal at the PBE-GGA level of DFT.

POSCAR file:
```
LiZr2Ag2Se6
1.0
3.412 -5.763 0.000
3.412 5.763 0.000
-0.593 0.000 6.541
Li Zr Ag Se
1 2 2 6
Direct
0.000 0.000 0.000
0.325 0.675 0.000
0.675 0.325 0.000
0.338 0.662 0.500
0.662 0.338 0.500
0.012 0.682 0.237
0.318 0.988 0.763
0.345 0.345 0.226
0.655 0.655 0.774
0.682 0.012 0.237
0.988 0.318 0.763
```

Uncorrected energy   -5.01 eV per atom
Volume   23.39 Å³ per atom
Space group   C2/m, No. 12
Crystal system   monoclinic
Uncorrected formation energy   -0.87 eV per atom
Total magnetization   0.0 μB/f.u.

***

[16]
Computed, not measured: a relaxed Ce2YNi crystal at the PBE-GGA level of DFT.

POSCAR file:
```
Ce2YNi
1.0
1.817 1.049 9.337
-1.817 1.049 9.337
0.000 -2.098 9.337
Ce Y Ni
2 1 1
Direct
0.230 0.230 0.230
0.770 0.770 0.770
0.000 0.000 0.000
0.500 0.500 0.500
```

ΔE_f   -0.013 eV/atom
Uncorrected energy   -6.04 eV per atom
Volume   26.70 Å³ per atom
Space group   R-3m, No. 166
Crystal system   trigonal
Offset from the most stable computed form   0.0459 eV/atom
Total magnetization   1.0 μB/f.u.

***

[17]
Computed, not measured: a relaxed LiPm2Al3Ag4 crystal at the PBE-GGA level of DFT.

POSCAR file:
```
LiPm2Al3Ag4
1.0
4.414 0.000 0.000
0.000 4.414 0.000
0.000 0.000 10.728
Li Pm Al Ag
1 2 3 4
Direct
0.000 0.000 0.000
0.000 0.500 0.741
0.500 0.000 0.259
0.000 0.500 0.366
0.500 0.000 0.634
0.500 0.500 0.000
0.000 0.000 0.500
0.000 0.500 0.129
0.500 0.000 0.871
0.500 0.500 0.500
```

ΔE_f   -0.294 eV/atom
Uncorrected energy   -3.70 eV per atom
Volume   20.90 Å³ per atom
Space group   P-4m2, No. 115
Crystal system   tetragonal
Total magnetization   0.0 μB/f.u.

***

[18]
Computed, not measured: a relaxed LaAlPb crystal at the PBE-GGA level of DFT.

POSCAR file:
```
LaAlPb
1.0
0.000 2.916 5.899
2.447 0.000 5.899
2.447 2.916 0.000
La Al Pb
1 1 1
Direct
0.000 0.000 0.000
0.672 0.672 0.328
0.301 0.301 0.699
```

ΔE_f   -0.241 eV/atom
Uncorrected energy   -4.37 eV per atom
Volume   28.06 Å³ per atom
Space group   Fmm2, No. 42
Crystal system   orthorhombic
Total magnetization   0.0 μB/f.u.

***

[19]
Computed, not measured: a relaxed LiAsRh2O crystal at the PBE-GGA level of DFT.

POSCAR file:
```
LiAsRh2O
1.0
4.197 0.000 0.000
0.000 4.197 0.000
0.000 0.000 4.082
Li As Rh O
1 1 2 1
Direct
0.000 0.000 0.000
0.000 0.000 0.500
0.000 0.500 0.000
0.500 0.000 0.000
0.500 0.500 0.500
```

Uncorrected energy   -4.25 eV per atom
Volume   14.38 Å³ per atom
Space group   P4/mmm, No. 123
Crystal system   tetragonal
Uncorrected formation energy   1.00 eV per atom
Total magnetization   1.8 μB/f.u.

***

[20]
Computed, not measured: a relaxed Pu6AgGe2 crystal at the PBE-GGA level of DFT.

POSCAR file:
```
Pu6AgGe2
1.0
8.777 0.000 0.000
-4.388 7.601 0.000
0.000 0.000 3.106
Pu Ag Ge
6 1 2
Direct
0.000 0.338 0.000
0.000 0.662 0.000
0.338 0.000 0.000
0.338 0.338 0.000
0.662 0.000 0.000
0.662 0.662 0.000
0.000 0.000 0.500
0.333 0.667 0.500
0.667 0.333 0.500
```

ΔE_f   0.031 eV/atom
Uncorrected energy   -10.87 eV per atom
Volume   23.02 Å³ per atom
Space group   P6/mmm, No. 191
Crystal system   hexagonal
Total magnetization   35.1 μB/f.u.